No. 1
The following is a DFT calculation (PBE) of a geometry-optimized Ba5CaMg6 structure.

a b c (Å): 6.138 8.443 18.370
angles (deg): 90.00 90.00 90.00
Space group Immm (No. 71)
Unique sites:
Ba1 0.000 0.000 0.000 [2 per cell]
Ba2 0.000 0.000 0.326 [4 per cell]
Ba3 0.000 0.500 0.337 [4 per cell]
Ca1 0.000 0.500 0.000 [2 per cell]
Mg1 0.000 0.219 0.500 [4 per cell]
Mg2 0.000 0.267 0.160 [8 per cell]

The value obtained for the calculated volume is 952 Å³/cell. For the energy relative to the elements, the calculation gives -0.0497 eV per atom.

No. 2
The following is a DFT calculation (PBE) of a geometry-optimized La4Cu3Ge structure.

a b c (Å): 4.208 4.419 11.017
angles (deg): 90.00 90.00 90.00
Space group Pmm2 (No. 25)
Unique sites:
La1 0.000 0.000 0.000 [1 per cell]
La2 0.000 0.500 0.283 [1 per cell]
La3 0.500 0.000 0.497 [1 per cell]
La4 0.500 0.500 0.787 [1 per cell]
Cu1 0.000 0.500 0.576 [1 per cell]
Cu2 0.500 0.000 0.205 [1 per cell]
Cu3 0.500 0.500 0.080 [1 per cell]
Ge1 0.000 0.000 0.714 [1 per cell]

The value obtained for the calculated volume is 205 Å³/cell. For the energy relative to the elements, the calculation gives -0.3281 eV per atom.

- calculated volume of number 2 (La4Cu3Ge)?
  205 Å³/cell

What did the first record say?
The following is a DFT calculation (PBE) of a geometry-optimized Ba5CaMg6 structure.

a b c (Å): 6.138 8.443 18.370
angles (deg): 90.00 90.00 90.00
Space group Immm (No. 71)
Unique sites:
Ba1 0.000 0.000 0.000 [2 per cell]
Ba2 0.000 0.000 0.326 [4 per cell]
Ba3 0.000 0.500 0.337 [4 per cell]
Ca1 0.000 0.500 0.000 [2 per cell]
Mg1 0.000 0.219 0.500 [4 per cell]
Mg2 0.000 0.267 0.160 [8 per cell]

The value obtained for the calculated volume is 952 Å³/cell. For the energy relative to the elements, the calculation gives -0.0497 eV per atom.